A relaxed structure of YLuGe. Source: the Alexandria database, functional PBE-GGA.

a b c (Å): 4.121 4.680 4.680
angles (deg): 120.00 90.00 90.00
Atoms (fractional coordinates):
Ge 0.257 0.333 0.667
Lu 0.114 0.000 0.000
Y 0.629 0.667 0.333

**E**: -0.411 Ry/atom
**Formation enthalpy at 0 K**: -0.396 eV per atom
**Space group**: P3m1